# 1
Compound: K3Ho3VS8
Source: Alexandria
Functional: PBE
Structure: optimized geometry

```
15
Lattice="3.890 2.246 7.512 -3.890 2.246 7.512 0.000 -4.492 7.512" Properties=species:S:1:pos:R:3 pbc="T T T"
K -1.945 -1.123 7.512
K -1.945 1.123 15.024
K 0.000 2.246 7.512
Ho -3.890 0.000 11.268
Ho -1.945 1.123 3.756
Ho 1.945 1.123 3.756
V 0.000 0.000 11.268
S 0.000 0.000 5.278
S -1.769 -1.021 12.664
S 0.000 -2.043 9.872
S -1.769 1.021 9.872
S 1.769 -1.021 12.664
S 0.000 2.043 12.664
S 1.769 1.021 9.872
S 0.000 0.000 17.258
```

Computed properties:
- space-group type = No. 166
- ΔE_f (raw) (eV per atom) = -1.61

=====

# 2
Compound: NiRuPt2
Source: Alexandria
Functional: PBE
Structure: optimized geometry

```
4
Lattice="1.363 0.787 8.821 -1.363 0.787 8.821 0.000 -1.574 8.821" Properties=species:S:1:pos:R:3 pbc="T T T"
Ni 0.000 0.000 0.000
Ru 0.000 0.000 6.843
Pt 0.000 0.000 13.385
Pt 0.000 0.000 19.774
```

Computed properties:
- space-group type = No. 160
- formation energy (eV/f.u.) = 0.0
- excess energy over the best structure of this formula in the dataset (kJ per mole of atoms) = 1.8

=====

# 3
Compound: ErTmPuTh
Source: Alexandria
Functional: PBE
Structure: optimized geometry

```
4
Lattice="0.000 3.912 3.912 3.912 0.000 3.912 3.912 3.912 0.000" Properties=species:S:1:pos:R:3 pbc="T T T"
Er 0.000 0.000 0.000
Tm 5.869 5.869 5.869
Pu 1.956 1.956 1.956
Th 3.912 3.912 3.912
```

Computed properties:
- space-group type = No. 216
- formation energy (eV/f.u.) = 0.8

=====

Number 1: total moment 1.00 μB per formula unit. Number 2: total moment 0.44 μB per formula unit. Number 3: total moment 8.03 μB per formula unit.